1.
First-principles (PBE) data for crystalline KZr2Cl at its relaxed geometry, as listed in the Alexandria database.

abc: 10.391 3.156 7.692
angles: 90.00 111.86 90.00
Space group Cm (No. 8)
One atom of each set of equivalent atoms:
1 K 0.000 0.000 0.000 x2
2 Zr 0.128 0.000 0.596 x2
3 Zr 0.369 0.000 0.452 x2
4 Cl 0.272 0.500 0.143 x2

Spin magnetization in μB per cell: 0.00
Uncorrected energy in eV/atom: -5.08
Formation energy (no corrections) in kJ/mol of atoms: -7
DOS at the Fermi energy in states/eV/f.u.: 4.2
E above lowest polymorph in kJ/mol of atoms: 38.1

***

2.
First-principles (PBE) data for crystalline KZrCl at its relaxed geometry, as listed in the Alexandria database.

abc: 3.4577 3.4577 7.5876
angles: 90.00 90.00 120.00
Space group P3m1 (No. 156)
One atom of each set of equivalent atoms:
1 K 0.0000 0.0000 0.0000 x1
2 Zr 0.3333 0.6667 0.5749 x1
3 Cl 0.6667 0.3333 0.3325 x1

Spin magnetization in μB per cell: 0.00
Uncorrected energy in eV/atom: -4.30
Formation energy (no corrections) in kJ/mol of atoms: -45
DOS at the Fermi energy in states/eV/f.u.: 0.9
E above lowest polymorph in kJ/mol of atoms: 0.0

***

3.
First-principles (PBE) data for crystalline KZrCl2 at its relaxed geometry, as listed in the Alexandria database.

abc: 3.292 7.492 9.604
angles: 90.00 90.00 90.00
Space group Immm (No. 71)
One atom of each set of equivalent atoms:
1 K 0.000 0.000 0.000 x2
2 Zr 0.000 0.000 0.500 x2
3 Cl 0.000 0.500 0.210 x4

Spin magnetization in μB per cell: 0.39
Uncorrected energy in eV/atom: -4.27
Formation energy (no corrections) in kJ/mol of atoms: -90
DOS at the Fermi energy in states/eV/f.u.: 2.0
E above lowest polymorph in kJ/mol of atoms: 18.1

***

4.
First-principles (PBE) data for crystalline KZrCl2 at its relaxed geometry, as listed in the Alexandria database.

abc: 5.197 5.197 3.560
angles: 90.00 90.00 90.00
Space group P4/mmm (No. 123)
One atom of each set of equivalent atoms:
1 K 0.000 0.000 0.000 x1
2 Zr 0.500 0.500 0.500 x1
3 Cl 0.000 0.500 0.500 x2

Spin magnetization in μB per cell: 0.00
Uncorrected energy in eV/atom: -4.41
Formation energy (no corrections) in kJ/mol of atoms: -103
DOS at the Fermi energy in states/eV/f.u.: 2.1
E above lowest polymorph in kJ/mol of atoms: 4.6

***

5.
First-principles (PBE) data for crystalline KZr2Cl2 at its relaxed geometry, as listed in the Alexandria database.

abc: 5.198 5.198 9.167
angles: 90.00 90.00 90.00
Space group I4/mmm (No. 139)
One atom of each set of equivalent atoms:
1 K 0.000 0.000 0.000 x2
2 Zr 0.000 0.000 0.357 x4
3 Cl 0.000 0.500 0.250 x4

Spin magnetization in μB per cell: 0.00
Uncorrected energy in eV/atom: -4.59
Formation energy (no corrections) in kJ/mol of atoms: -21
DOS at the Fermi energy in states/eV/f.u.: 4.2
E above lowest polymorph in kJ/mol of atoms: 0.0

***

6.
First-principles (PBE) data for crystalline K3ZrCl at its relaxed geometry, as listed in the Alexandria database.

abc: 6.101 6.101 6.101
angles: 90.00 90.00 90.00
Space group Pm-3m (No. 221)
One atom of each set of equivalent atoms:
1 K 0.000 0.000 0.500 x3
2 Zr 0.500 0.500 0.500 x1
3 Cl 0.000 0.000 0.000 x1

Spin magnetization in μB per cell: 4.00
Uncorrected energy in eV/atom: -2.64
Formation energy (no corrections) in kJ/mol of atoms: 9
DOS at the Fermi energy in states/eV/f.u.: 40.4
E above lowest polymorph in kJ/mol of atoms: 0.0

***

7.
First-principles (PBE) data for crystalline KZr3Cl at its relaxed geometry, as listed in the Alexandria database.

abc: 5.127 5.127 5.127
angles: 90.00 90.00 90.00
Space group Pm-3m (No. 221)
One atom of each set of equivalent atoms:
1 K 0.000 0.000 0.000 x1
2 Zr 0.000 0.000 0.500 x3
3 Cl 0.500 0.500 0.500 x1

Spin magnetization in μB per cell: 0.00
Uncorrected energy in eV/atom: -3.67
Formation energy (no corrections) in kJ/mol of atoms: 198
DOS at the Fermi energy in states/eV/f.u.: 5.8
E above lowest polymorph in kJ/mol of atoms: 155.5

***

8.
First-principles (PBE) data for crystalline KZr2Cl at its relaxed geometry, as listed in the Alexandria database.

abc: 5.116 5.116 19.874
angles: 90.00 90.00 90.00
Space group I-42d (No. 122)
One atom of each set of equivalent atoms:
1 K 0.000 0.000 0.000 x4
2 Zr 0.036 0.250 0.625 x8
3 Cl 0.000 0.000 0.500 x4

Spin magnetization in μB per cell: 3.27
Uncorrected energy in eV/atom: -4.51
Formation energy (no corrections) in kJ/mol of atoms: 48
DOS at the Fermi energy in states/eV/f.u.: 4.4
E above lowest polymorph in kJ/mol of atoms: 93.5

***

9.
First-principles (PBE) data for crystalline KZr2Cl at its relaxed geometry, as listed in the Alexandria database.

abc: 3.346 3.320 9.892
angles: 90.00 99.64 90.00
Space group Pm (No. 6)
One atom of each set of equivalent atoms:
1 K 0.000 0.000 0.000 x1
2 Zr 0.320 0.500 0.646 x1
3 Zr 0.719 0.000 0.442 x1
4 Cl 0.606 0.500 0.213 x1

Spin magnetization in μB per cell: 0.00
Uncorrected energy in eV/atom: -5.48
Formation energy (no corrections) in kJ/mol of atoms: -45
DOS at the Fermi energy in states/eV/f.u.: 0.8
E above lowest polymorph in kJ/mol of atoms: 0.0

***

10.
First-principles (PBE) data for crystalline KZr2Cl at its relaxed geometry, as listed in the Alexandria database.

abc: 3.118 5.632 6.743
angles: 90.00 90.00 90.00
Space group Pmmm (No. 47)
One atom of each set of equivalent atoms:
1 K 0.000 0.000 0.000 x1
2 Zr 0.500 0.243 0.500 x2
3 Cl 0.000 0.500 0.000 x1

Spin magnetization in μB per cell: 0.00
Uncorrected energy in eV/atom: -4.61
Formation energy (no corrections) in kJ/mol of atoms: 39
DOS at the Fermi energy in states/eV/f.u.: 2.5
E above lowest polymorph in kJ/mol of atoms: 84.1